Entry 1:
The following is a PBE calculation of a geometry-optimized Zr2TaCu structure, from Alexandria via LeMat-Bulk.

Values from the calculation:
- Fermi-level density of states: 1.203 states/eV per atom
- Total energy: -8.1582 eV per atom

Cell lengths 3.0745, 3.6530, 6.7565 Å; angles 90.00, 90.00, 90.00 degrees
Sites, in units of the cell vectors:
Zr  0.0000  0.0000  0.0000
Zr  0.5000  0.5000  0.2925
Ta  0.5000  0.5000  0.7405
Cu  0.0000  0.0000  0.5336

Entry 2:
The following is a PBE calculation of a geometry-optimized ZrTa2Cu structure, from Alexandria via LeMat-Bulk.

Values from the calculation:
- Fermi-level density of states: 1.176 states/eV per atom
- Total energy: -8.9633 eV per atom

Cell lengths 3.4230, 4.4791, 4.6555 Å; angles 90.00, 90.00, 90.00 degrees
Sites, in units of the cell vectors:
Zr  0.0000  0.0000  0.0000
Ta  0.0000  0.5000  0.5000
Ta  0.5000  0.0000  0.5000
Cu  0.5000  0.5000  0.0000

Entry 3:
The following is a PBE calculation of a geometry-optimized ZrTa2Cu structure, from Alexandria via LeMat-Bulk.

Values from the calculation:
- Fermi-level density of states: 1.237 states/eV per atom
- Total energy: -8.7718 eV per atom

Cell lengths 5.3178, 5.3178, 2.8506 Å; angles 90.00, 90.00, 115.27 degrees
Sites, in units of the cell vectors:
Zr  0.0000  0.0000  0.0000
Ta  0.0000  0.5000  0.5000
Ta  0.5000  0.0000  0.5000
Cu  0.5000  0.5000  0.0000

Entry 4:
The following is a PBE calculation of a geometry-optimized Zr2TaCu structure, from Alexandria via LeMat-Bulk.

Values from the calculation:
- Fermi-level density of states: 0.845 states/eV per atom
- Total energy: -8.0429 eV per atom

Cell lengths 4.7269, 4.7269, 4.7269 Å; angles 60.00, 60.00, 60.00 degrees
Sites, in units of the cell vectors:
Zr  0.0000  0.0000  0.0000
Zr  0.2500  0.2500  0.2500
Ta  0.7500  0.7500  0.7500
Cu  0.5000  0.5000  0.5000

Entry 5:
The following is a PBE calculation of a geometry-optimized Zr2TaCu structure, from Alexandria via LeMat-Bulk.

Values from the calculation:
- Fermi-level density of states: 1.120 states/eV per atom
- Total energy: -8.1944 eV per atom

Cell lengths 2.9810, 2.9810, 8.5789 Å; angles 90.00, 90.00, 90.00 degrees
Sites, in units of the cell vectors:
Zr  0.0000  0.0000  0.0000
Zr  0.5000  0.5000  0.3016
Ta  0.5000  0.5000  0.7326
Cu  0.0000  0.0000  0.5288

Entry 6:
The following is a PBE calculation of a geometry-optimized ZrTa2Cu2 structure, from Alexandria via LeMat-Bulk.

Values from the calculation:
- Fermi-level density of states: 1.621 states/eV per atom
- Total energy: -7.9159 eV per atom

Cell lengths 7.3912, 7.3912, 3.0664 Å; angles 90.00, 90.00, 90.00 degrees
Sites, in units of the cell vectors:
Zr  0.0000  0.0000  0.0000
Zr  0.5000  0.5000  0.0000
Ta  0.1754  0.3246  0.5000
Ta  0.3246  0.8246  0.5000
Ta  0.6754  0.1754  0.5000
Ta  0.8246  0.6754  0.5000
Cu  0.1192  0.6192  0.0000
Cu  0.3808  0.1192  0.0000
Cu  0.6192  0.8808  0.0000
Cu  0.8808  0.3808  0.0000

Entry 7:
The following is a PBE calculation of a geometry-optimized Zr2TaCu6 structure, from Alexandria via LeMat-Bulk.

Values from the calculation:
- Fermi-level density of states: 0.506 states/eV per atom
- Total energy: -6.0356 eV per atom

Cell lengths 7.4985, 7.4985, 2.7450 Å; angles 90.00, 90.00, 119.95 degrees
Sites, in units of the cell vectors:
Zr  0.1667  0.8333  0.0000
Zr  0.8333  0.1667  0.0000
Ta  0.5000  0.5000  0.0000
Cu  0.1708  0.1708  0.5000
Cu  0.1712  0.5002  0.5000
Cu  0.5002  0.1712  0.5000
Cu  0.4998  0.8288  0.5000
Cu  0.8288  0.4998  0.5000
Cu  0.8292  0.8292  0.5000

Entry 8:
The following is a PBE calculation of a geometry-optimized ZrTaCu structure, from Alexandria via LeMat-Bulk.

Values from the calculation:
- Fermi-level density of states: 1.076 states/eV per atom
- Total energy: -7.9840 eV per atom

Cell lengths 6.7369, 6.7369, 6.7369 Å; angles 39.20, 39.20, 39.20 degrees
Sites, in units of the cell vectors:
Zr  0.1141  0.1141  0.1141
Zr  0.8859  0.8859  0.8859
Ta  0.3014  0.3014  0.3014
Ta  0.6986  0.6986  0.6986
Cu  0.4374  0.4374  0.4374
Cu  0.5626  0.5626  0.5626